A plane-wave DFT calculation with PBE+U was carried out for a relaxed structure of DyPaNiO6.

Calculated values
- VASP energy: -7.51 eV/atom

a b c (Å): 5.3677 5.3677 4.8080
angles (deg): 90.00 90.00 120.00
Closest atoms and distances in Å follow each position.
Space group P312 (No. 149)
Symmetry-distinct sites (fractional):
Dy 0.0000 0.0000 0.0000 (multiplicity 1)  6 O 2.25
Pa 0.6667 0.3333 0.5000 (multiplicity 1)  6 O 2.18
Ni 0.3333 0.6667 0.0000 (multiplicity 1)  6 O 2.02
O 0.0142 0.3677 0.2377 (multiplicity 6)  1 Ni 2.02, 1 Pa 2.18, 1 Dy 2.25